1.
Compound: Pr5Er2Tl
Source: Alexandria via LeMat-Bulk
Functional: PBE
Structure: optimized geometry

Cell: 3.5151 11.4790 13.1506 Å, 90.00 90.00 90.00°
Fractional positions:
Pr 0.0000 0.0000 0.0000
Pr 0.0000 0.2667 0.3691
Pr 0.0000 0.2667 0.6309
Pr 0.0000 0.7333 0.3691
Pr 0.0000 0.7333 0.6309
Pr 0.5000 0.2333 0.1309
Pr 0.5000 0.2333 0.8691
Pr 0.5000 0.5000 0.5000
Pr 0.5000 0.7667 0.1309
Pr 0.5000 0.7667 0.8691
Er 0.0000 0.0000 0.2708
Er 0.0000 0.0000 0.7292
Er 0.5000 0.5000 0.2292
Er 0.5000 0.5000 0.7708
Tl 0.0000 0.5000 0.0000
Tl 0.5000 0.0000 0.5000

Summary:
Calculated formation energy = 0.01 eV/f.u.
Fermi-level density of states = 21.74 states/eV per cell

2.
Compound: PrEr2Tl4
Source: Alexandria via LeMat-Bulk
Functional: PBE
Structure: optimized geometry

Cell: 5.2528 5.2528 7.6729 Å, 90.00 90.00 90.00°
Fractional positions:
Pr 0.0000 0.0000 0.0000
Er 0.0000 0.0000 0.5000
Er 0.5000 0.5000 0.0000
Tl 0.0000 0.5000 0.2746
Tl 0.0000 0.5000 0.7254
Tl 0.5000 0.0000 0.2746
Tl 0.5000 0.0000 0.7254

Summary:
Calculated formation energy = -1.42 eV/f.u.
Fermi-level density of states = 5.49 states/eV per cell

3.
Compound: Pr2Er8Tl
Source: Alexandria via LeMat-Bulk
Functional: PBE
Structure: optimized geometry

Cell: 9.3591 9.3591 7.8563 Å, 104.73 104.73 30.61°
Fractional positions:
Pr 0.2209 0.2209 0.1343
Pr 0.7791 0.7791 0.8657
Er 0.0442 0.0442 0.2222
Er 0.1333 0.1333 0.6728
Er 0.3193 0.3193 0.5913
Er 0.4118 0.4118 0.0568
Er 0.5882 0.5882 0.9432
Er 0.6807 0.6807 0.4087
Er 0.8667 0.8667 0.3272
Er 0.9558 0.9558 0.7778
Tl 0.5000 0.5000 0.5000

Summary:
Calculated formation energy = -0.28 eV/f.u.
Fermi-level density of states = 15.31 states/eV per cell

4.
Compound: Pr6ErTl2
Source: Alexandria via LeMat-Bulk
Functional: PBE
Structure: optimized geometry

Cell: 6.8924 6.8924 12.2894 Å, 107.06 107.06 32.48°
Fractional positions:
Pr 0.0205 0.0205 0.3428
Pr 0.3053 0.3053 0.4051
Pr 0.3207 0.3207 0.1231
Pr 0.6793 0.6793 0.8769
Pr 0.6947 0.6947 0.5949
Pr 0.9795 0.9795 0.6572
Er 0.0000 0.0000 0.0000
Tl 0.3638 0.3638 0.8103
Tl 0.6362 0.6362 0.1897

Summary:
Calculated formation energy = -1.38 eV/f.u.
Fermi-level density of states = 10.69 states/eV per cell
Polymorph energy (0 for the lowest one) = 0 meV/atom

5.
Compound: Pr5Er3Tl
Source: Alexandria via LeMat-Bulk
Functional: PBE
Structure: optimized geometry

Cell: 8.0715 8.0715 11.3725 Å, 95.67 95.67 61.02°
Fractional positions:
Pr 0.0094 0.0094 0.3705
Pr 0.1611 0.5858 0.2490
Pr 0.1694 0.8306 0.0000
Pr 0.2626 0.2626 0.9604
Pr 0.4142 0.8389 0.7510
Pr 0.5858 0.1611 0.2490
Pr 0.7374 0.7374 0.0396
Pr 0.8306 0.1694 0.0000
Pr 0.8389 0.4142 0.7510
Pr 0.9906 0.9906 0.6295
Er 0.1710 0.1710 0.2161
Er 0.2450 0.2450 0.5235
Er 0.5000 0.5000 0.0000
Er 0.5000 0.5000 0.5000
Er 0.7550 0.7550 0.4765
Er 0.8290 0.8290 0.7839
Tl 0.4043 0.4043 0.7391
Tl 0.5957 0.5957 0.2609

Summary:
Calculated formation energy = 3.47 eV/f.u.
Fermi-level density of states = 23.47 states/eV per cell

6.
Compound: Pr4ErTl2
Source: Alexandria via LeMat-Bulk
Functional: PBE
Structure: optimized geometry

Cell: 9.6153 9.6153 9.6153 Å, 34.14 34.14 34.14°
Fractional positions:
Pr 0.1303 0.1303 0.1303
Pr 0.2689 0.2689 0.2689
Pr 0.7311 0.7311 0.7311
Pr 0.8697 0.8697 0.8697
Er 0.5000 0.5000 0.5000
Tl 0.3875 0.3875 0.3875
Tl 0.6125 0.6125 0.6125

Summary:
Calculated formation energy = 0.08 eV/f.u.
Fermi-level density of states = 11.97 states/eV per cell
Polymorph energy (0 for the lowest one) = 87 meV/atom

7.
Compound: Pr5ErTl2
Source: Alexandria via LeMat-Bulk
Functional: PBE
Structure: optimized geometry

Cell: 5.6098 5.6098 20.4712 Å, 90.00 90.00 120.00°
Fractional positions:
Pr 0.0000 0.0000 0.1611
Pr 0.0000 0.0000 0.3388
Pr 0.0000 0.0000 0.6612
Pr 0.0000 0.0000 0.8388
Pr 0.3333 0.6667 0.0608
Pr 0.3333 0.6667 0.2500
Pr 0.3333 0.6667 0.4392
Pr 0.6667 0.3333 0.5608
Pr 0.6667 0.3333 0.7500
Pr 0.6667 0.3333 0.9392
Er 0.3333 0.6667 0.7500
Er 0.6667 0.3333 0.2500
Tl 0.3333 0.6667 0.5980
Tl 0.3333 0.6667 0.9020
Tl 0.6667 0.3333 0.0980
Tl 0.6667 0.3333 0.4020

Summary:
Calculated formation energy = -0.61 eV/f.u.
Fermi-level density of states = 29.23 states/eV per cell

8.
Compound: PrEr6Tl6
Source: Alexandria via LeMat-Bulk
Functional: PBE
Structure: optimized geometry

Cell: 6.4024 6.4024 10.5023 Å, 90.00 90.00 120.00°
Fractional positions:
Pr 0.0000 0.0000 0.0000
Er 0.0000 0.0000 0.3390
Er 0.0000 0.0000 0.6610
Er 0.3333 0.6667 0.0000
Er 0.3333 0.6667 0.5000
Er 0.6667 0.3333 0.0000
Er 0.6667 0.3333 0.5000
Tl 0.0000 0.5000 0.2460
Tl 0.0000 0.5000 0.7540
Tl 0.5000 0.0000 0.2460
Tl 0.5000 0.0000 0.7540
Tl 0.5000 0.5000 0.2460
Tl 0.5000 0.5000 0.7540

Summary:
Calculated formation energy = -2.39 eV/f.u.
Fermi-level density of states = 10.93 states/eV per cell

9.
Compound: PrEr4Tl5
Source: Alexandria via LeMat-Bulk
Functional: PBE
Structure: optimized geometry

Cell: 3.7512 3.7512 19.5154 Å, 90.00 90.00 90.00°
Fractional positions:
Pr 0.0000 0.0000 0.0000
Er 0.0000 0.0000 0.2073
Er 0.0000 0.0000 0.4026
Er 0.0000 0.0000 0.5974
Er 0.0000 0.0000 0.7927
Tl 0.5000 0.5000 0.1102
Tl 0.5000 0.5000 0.3057
Tl 0.5000 0.5000 0.5000
Tl 0.5000 0.5000 0.6943
Tl 0.5000 0.5000 0.8898

Summary:
Calculated formation energy = -3.31 eV/f.u.
Fermi-level density of states = 7.79 states/eV per cell

10.
Compound: Pr6Er8Tl
Source: Alexandria via LeMat-Bulk
Functional: PBE
Structure: optimized geometry

Cell: 9.5189 9.5189 6.3596 Å, 90.00 90.00 120.00°
Fractional positions:
Pr 0.0893 0.6379 0.3110
Pr 0.3621 0.4515 0.3110
Pr 0.4515 0.0893 0.6890
Pr 0.5485 0.9107 0.3110
Pr 0.6379 0.5485 0.6890
Pr 0.9107 0.3621 0.6890
Er 0.0402 0.7787 0.8105
Er 0.2213 0.2615 0.8105
Er 0.2615 0.0402 0.1895
Er 0.3333 0.6667 0.8214
Er 0.6667 0.3333 0.1786
Er 0.7385 0.9598 0.8105
Er 0.7787 0.7385 0.1895
Er 0.9598 0.2213 0.1895
Tl 0.0000 0.0000 0.5000

Summary:
Calculated formation energy = 1.14 eV/f.u.
Fermi-level density of states = 18.65 states/eV per cell

| no. | energy (eV per atom) |
| --- | --- |
| 1 | -4.423 |
| 2 | -3.542 |
| 3 | -4.428 |
| 4 | -4.372 |
| 5 | -4.054 |
| 6 | -4.048 |
| 7 | -4.226 |
| 8 | -3.749 |
| 9 | -3.817 |
| 10 | -4.427 |